A geometry-optimized Cs2FeF structure. Source: Alexandria, functional PBE+U.

- excess energy over the best structure of this formula in the dataset (meV/atom) = 0
- volume (Å³ per atom) = 47.595
- E (Ry per atom) = -0.2216

Cell lengths 7.957, 7.957, 7.957 Å; angles 114.19, 114.19, 100.40 degrees
Fractional positions:
Cs 0.029 0.625 0.904
Cs 0.375 0.279 0.404
Cs 0.721 0.125 0.096
Cs 0.875 0.971 0.596
Fe 0.250 0.750 0.500
Fe 0.500 0.500 0.000
F 0.000 0.000 0.000
F 0.750 0.250 0.500